VASP calculation (PBE) on crystalline La3OsSe at its relaxed geometry.

## Properties
**Energy relative to the elements, uncorrected**: -0.3884 eV per atom
**Energy relative to the lowest polymorph listed for this composition**: 0 meV per atom
**Symmetry**: No. 221

POSCAR file:
```
La3OsSe
1.0
5.554 0.000 0.000
0.000 5.554 0.000
0.000 0.000 5.554
Se La Os
1 3 1
direct
0.500 0.500 0.500 Se
0.000 0.500 0.000 La
0.500 0.000 0.000 La
0.000 0.000 0.500 La
0.000 0.000 0.000 Os
```



VASP calculation (PBE) on crystalline LaOs2Se at its relaxed geometry.

## Properties
**Energy relative to the elements, uncorrected**: 0.5073 eV per atom
**Symmetry**: No. 122

POSCAR file:
```
LaOs2Se
1.0
7.464 0.000 0.000
0.000 7.464 0.000
3.732 3.732 2.986
La Os Se
2 4 2
direct
0.750 0.250 0.500 La
0.000 0.000 0.000 La
0.875 0.795 0.750 Os
0.545 0.125 0.250 Os
0.375 0.455 0.750 Os
0.205 0.625 0.250 Os
0.250 0.750 0.500 Se
0.500 0.500 0.000 Se
```



VASP calculation (PBE) on crystalline La2OsSe at its relaxed geometry.

## Properties
**Energy relative to the elements, uncorrected**: -0.7439 eV per atom
**Symmetry**: No. 44

POSCAR file:
```
La2OsSe
1.0
-3.085 6.924 2.664
-6.586 2.934 3.546
5.908 -5.402 -0.683
Os La Se
1 2 1
direct
0.553 0.553 0.000 Os
0.691 0.191 0.500 La
0.962 0.962 0.000 La
0.294 0.794 0.500 Se
```



VASP calculation (PBE) on crystalline LaOs2Se at its relaxed geometry.

## Properties
**Energy relative to the elements, uncorrected**: -0.0137 eV per atom
**Symmetry**: No. 6

POSCAR file:
```
LaOs2Se
1.0
-0.598 -3.776 0.285
1.462 0.048 3.705
-4.767 1.005 3.326
Se Os La
1 2 1
direct
0.000 0.443 0.468 Se
0.000 0.928 0.127 Os
0.500 0.270 0.173 Os
0.500 0.859 0.732 La
```



VASP calculation (PBE) on crystalline LaOsSe3 at its relaxed geometry.

## Properties
**Energy relative to the elements, uncorrected**: 1.2874 eV per atom
**Energy relative to the lowest polymorph listed for this composition**: 1725 meV per atom
**Symmetry**: No. 221

POSCAR file:
```
LaOsSe3
1.0
5.619 0.000 0.000
0.000 5.619 0.000
0.000 0.000 5.619
Se Os La
3 1 1
direct
0.000 0.000 0.500 Se
0.500 0.000 0.000 Se
0.000 0.500 0.000 Se
0.500 0.500 0.500 Os
0.000 0.000 0.000 La
```



VASP calculation (PBE) on crystalline LaOs2Se at its relaxed geometry.

## Properties
**Energy relative to the elements, uncorrected**: 0.1620 eV per atom
**Symmetry**: No. 10

POSCAR file:
```
LaOs2Se
1.0
-3.321 -1.422 2.242
1.965 -4.037 0.349
2.414 0.777 4.069
La Se Os
1 1 2
direct
0.500 0.750 0.750 La
0.500 0.250 0.250 Se
0.000 0.346 0.509 Os
0.000 0.154 0.991 Os
```



VASP calculation (PBE) on crystalline LaOsSe3 at its relaxed geometry.

## Properties
**Energy relative to the elements, uncorrected**: -0.4375 eV per atom
**Energy relative to the lowest polymorph listed for this composition**: 0 meV per atom
**Symmetry**: No. 221

POSCAR file:
```
LaOsSe3
1.0
-4.747 0.421 -1.342
-0.324 -4.924 -0.397
-1.368 -0.293 4.749
Se Os La
3 1 1
direct
0.000 0.000 0.500 Se
0.000 0.500 0.000 Se
0.500 0.000 0.000 Se
0.000 0.000 0.000 Os
0.500 0.500 0.500 La
```



VASP calculation (PBE) on crystalline LaOs2Se at its relaxed geometry.

## Properties
**Energy relative to the elements, uncorrected**: 0.7951 eV per atom
**Symmetry**: No. 166

POSCAR file:
```
LaOs2Se
1.0
9.358 -0.020 -0.012
8.875 2.970 -0.012
8.875 1.436 2.600
Os La Se
2 1 1
direct
0.512 0.512 0.512 Os
0.988 0.988 0.988 Os
0.750 0.750 0.750 La
0.250 0.250 0.250 Se
```



VASP calculation (PBE) on crystalline La2OsSe at its relaxed geometry.

## Properties
**Energy relative to the elements, uncorrected**: -0.0870 eV per atom
**Symmetry**: No. 216

POSCAR file:
```
La2OsSe
1.0
-4.091 -0.049 2.981
0.395 -1.512 4.815
-0.436 3.368 3.754
Se La Os
1 2 1
direct
0.750 0.750 0.750 Se
0.250 0.250 0.250 La
0.000 0.000 0.000 La
0.500 0.500 0.500 Os
```



VASP calculation (PBE) on crystalline La2OsSe at its relaxed geometry.

## Properties
**Energy relative to the elements, uncorrected**: -0.4727 eV per atom
**Symmetry**: No. 160

POSCAR file:
```
La2OsSe
1.0
-1.669 -1.553 7.178
-1.928 -5.326 4.964
1.979 -3.779 6.207
Os La Se
1 2 1
direct
0.452 0.452 0.452 Os
0.041 0.041 0.041 La
0.210 0.210 0.210 La
0.798 0.798 0.798 Se
```



VASP calculation (PBE) on crystalline La2OsSe at its relaxed geometry.

## Properties
**Energy relative to the elements, uncorrected**: -0.8644 eV per atom
**Symmetry**: No. 99

POSCAR file:
```
La2OsSe
1.0
4.295 0.000 0.000
0.000 4.295 0.000
0.000 0.000 6.058
Os Se La
1 1 2
direct
0.000 0.000 0.346 Os
0.500 0.500 0.864 Se
0.500 0.500 0.365 La
0.000 0.000 0.925 La
```



VASP calculation (PBE) on crystalline La2OsSe at its relaxed geometry.

## Properties
**Energy relative to the elements, uncorrected**: -0.8403 eV per atom
**Symmetry**: No. 166

POSCAR file:
```
La2OsSe
1.0
7.536 0.010 0.006
6.325 4.097 0.006
6.325 1.874 3.643
La Se Os
2 1 1
direct
0.509 0.509 0.509 La
0.991 0.991 0.991 La
0.750 0.750 0.750 Se
0.250 0.250 0.250 Os
```



VASP calculation (PBE) on crystalline La2OsSe at its relaxed geometry.

## Properties
**Energy relative to the elements, uncorrected**: -0.7102 eV per atom
**Symmetry**: No. 12

POSCAR file:
```
La2OsSe
1.0
-1.614 -1.156 -4.826
4.494 -2.492 -0.907
-1.426 -3.046 1.184
La Se Os
2 1 1
direct
0.500 0.500 0.000 La
0.000 0.000 0.000 La
0.000 0.500 0.500 Se
0.500 0.000 0.500 Os
```



VASP calculation (PBE) on crystalline LaOs2Se at its relaxed geometry.

## Properties
**Energy relative to the elements, uncorrected**: 0.1205 eV per atom
**Symmetry**: No. 25

POSCAR file:
```
LaOs2Se
1.0
-1.840 0.431 -2.337
-1.557 -3.568 0.567
-4.553 2.633 4.070
Se Os La
1 2 1
direct
0.000 0.000 0.454 Se
0.000 0.000 0.069 Os
0.500 0.500 0.212 Os
0.500 0.500 0.765 La
```



VASP calculation (PBE) on crystalline LaOs2Se at its relaxed geometry.

## Properties
**Energy relative to the elements, uncorrected**: 0.4025 eV per atom
**Symmetry**: No. 123

POSCAR file:
```
LaOs2Se
1.0
5.007 0.000 0.000
0.000 3.957 0.000
0.000 0.000 3.957
Os La Se
2 1 1
direct
0.000 0.500 0.500 Os
0.000 0.000 0.000 Os
0.500 0.000 0.500 La
0.500 0.500 0.000 Se
```



VASP calculation (PBE) on crystalline LaOs2Se at its relaxed geometry.

## Properties
**Energy relative to the elements, uncorrected**: 0.1761 eV per atom
**Symmetry**: No. 99

POSCAR file:
```
LaOs2Se
1.0
3.088 0.000 0.000
0.000 3.088 0.000
0.000 0.000 7.851
Os Se La
2 1 1
direct
0.500 0.500 0.243 Os
0.000 0.000 0.048 Os
0.000 0.000 0.457 Se
0.500 0.500 0.752 La
```



VASP calculation (PBE) on crystalline La4OsSe at its relaxed geometry.

## Properties
**Energy relative to the elements, uncorrected**: 0.5483 eV per atom
**Symmetry**: No. 216

POSCAR file:
```
La4OsSe
1.0
-3.880 2.054 4.313
-3.515 4.926 -1.117
-6.072 -0.660 -0.757
La Se Os
4 1 1
direct
0.376 0.873 0.376 La
0.376 0.376 0.873 La
0.376 0.376 0.376 La
0.873 0.376 0.376 La
0.000 0.000 0.000 Se
0.750 0.750 0.750 Os
```



VASP calculation (PBE) on crystalline LaOs2Se at its relaxed geometry.

## Properties
**Energy relative to the elements, uncorrected**: -0.1525 eV per atom
**Symmetry**: No. 8

POSCAR file:
```
LaOs2Se
1.0
4.423 -0.020 0.044
2.397 3.718 0.044
2.000 1.085 5.207
La Os Se
1 2 1
direct
0.261 0.261 0.226 La
0.045 0.045 0.843 Os
0.726 0.726 0.824 Os
0.468 0.468 0.606 Se
```



VASP calculation (PBE) on crystalline LaOs2Se at its relaxed geometry.

## Properties
**Energy relative to the elements, uncorrected**: 0.3504 eV per atom
**Symmetry**: No. 44

POSCAR file:
```
LaOs2Se
1.0
5.621 0.004 0.003
2.372 5.096 -0.003
-3.285 -3.664 2.715
Os La Se
2 1 1
direct
0.964 0.964 0.000 Os
0.744 0.244 0.500 Os
0.257 0.757 0.500 La
0.536 0.536 0.000 Se
```



VASP calculation (PBE) on crystalline LaOs2Se at its relaxed geometry.

## Properties
**Energy relative to the elements, uncorrected**: 0.2807 eV per atom
**Symmetry**: No. 71

POSCAR file:
```
LaOs2Se
1.0
-5.296 -2.377 -0.014
-1.322 -4.327 -3.637
3.205 2.065 4.377
La Os Se
1 2 1
direct
0.250 0.750 0.500 La
0.526 0.526 0.000 Os
0.974 0.974 0.000 Os
0.750 0.250 0.500 Se
```